Record 1
Entry from the Alexandria database: a geometry-optimized SrLi2In structure (PBE).

Cell: 4.8634 4.8634 5.8858 Å, 114.47 114.47 60.08°
Last column: nearest neighbours and their distance in Å.
Atoms (fractional coordinates):
Sr1 0.0000 0.0000 0.0000  8 Li 3.26-3.39
Li1 0.2103 0.2103 0.6315  3 In 2.89, 3 Li 3.11-3.12
Li2 0.7897 0.7897 0.3685  3 In 2.89, 3 Li 3.11-3.12
In1 0.5000 0.5000 0.5000  6 Li 2.89

---

Record 2
Entry from the Alexandria database: a geometry-optimized Sr3Li9In2 structure (PBE).

Cell: 9.2537 9.2537 9.2537 Å, 148.64 111.61 77.16°
Last column: nearest neighbours and their distance in Å.
Atoms (fractional coordinates):
Sr1 0.0000 0.0000 0.0000  4 Li 3.33
Sr2 0.3183 0.3183 0.0000  2 In 3.50, 12 Li 3.54-3.63
Sr3 0.6817 0.6817 0.0000  2 In 3.50, 12 Li 3.54-3.63
Li1 0.0253 0.6798 0.3455  1 In 2.90, 4 Li 2.99-3.21
Li2 0.1682 0.8885 0.2797  4 Li 2.80-3.10, 2 In 2.98
Li3 0.3343 0.6798 0.6545  1 In 2.90, 4 Li 2.99-3.21
Li4 0.3912 0.1115 0.2797  4 Li 2.80-3.10, 2 In 2.98
Li5 0.5000 0.0000 0.5000  4 Li 2.80
Li6 0.6088 0.8885 0.7203  4 Li 2.80-3.10, 2 In 2.98
Li7 0.6657 0.3202 0.3455  1 In 2.90, 4 Li 2.99-3.21
Li8 0.8318 0.1115 0.7203  4 Li 2.80-3.10, 2 In 2.98
Li9 0.9747 0.3202 0.6545  1 In 2.90, 4 Li 2.99-3.21
In1 0.2776 0.5000 0.7776  6 Li 2.90-2.98
In2 0.7224 0.5000 0.2224  6 Li 2.90-2.98

---

Record 3
Entry from the Alexandria database: a geometry-optimized Sr2Li4In5 structure (PBE).

Cell: 7.2352 7.2352 9.1119 Å, 127.57 127.57 50.45°
Last column: nearest neighbours and their distance in Å.
Atoms (fractional coordinates):
Sr1 0.2061 0.2061 0.2120  6 Li 3.12-3.47
Sr2 0.7939 0.7939 0.7880  6 Li 3.12-3.47
Li1 0.2558 0.2558 0.6016  3 In 2.78-2.93, 1 Li 2.93
Li2 0.2585 0.2585 0.9254  3 In 2.75-2.94, 1 Li 2.93
Li3 0.7415 0.7415 0.0746  3 In 2.75-2.94, 1 Li 2.93
Li4 0.7442 0.7442 0.3984  3 In 2.78-2.93, 1 Li 2.93
In1 0.2491 0.7513 0.3145  4 Li 2.93-3.14, 3 In 3.07-3.26
In2 0.2487 0.7509 0.6855  4 Li 2.93-3.14, 3 In 3.07-3.26
In3 0.5000 0.5000 0.0000  4 Li 2.75-2.78
In4 0.7513 0.2491 0.3145  4 Li 2.93-3.14, 3 In 3.07-3.26
In5 0.7509 0.2487 0.6855  4 Li 2.93-3.14, 3 In 3.07-3.26

---

Record 4
Entry from the Alexandria database: a geometry-optimized Sr2Li5In4 structure (PBE).

Cell: 10.3252 9.5556 5.9294 Å, 79.91 65.66 34.43°
Last column: nearest neighbours and their distance in Å.
Atoms (fractional coordinates):
Sr1 0.1529 0.1529 0.8471  4 Li 3.44, 6 In 3.50-3.54
Sr2 0.8471 0.8471 0.1529  4 Li 3.44, 6 In 3.50-3.54
Li1 0.0000 0.0000 0.5000  4 Li 2.96-3.15, 4 In 2.98
Li2 0.2500 0.2500 0.2500  4 In 2.85, 2 Li 3.15
Li3 0.5000 0.5000 0.0000  4 Li 2.96-3.15, 4 In 2.98
Li4 0.5000 0.5000 0.5000  4 In 2.81, 4 Li 2.96
Li5 0.7500 0.7500 0.7500  4 In 2.85, 2 Li 3.15
In1 0.2159 0.5245 0.4755  5 Li 2.81-2.98, 1 In 3.10
In2 0.4755 0.7841 0.2159  5 Li 2.81-2.98, 1 In 3.10
In3 0.5245 0.2159 0.7841  5 Li 2.81-2.98, 1 In 3.10
In4 0.7841 0.4755 0.5245  5 Li 2.81-2.98, 1 In 3.10

---

Record 5
Entry from the Alexandria database: a geometry-optimized SrLi4In4 structure (PBE).

Cell: 7.1651 7.1651 7.1651 Å, 97.18 97.18 138.58°
Last column: nearest neighbours and their distance in Å.
Atoms (fractional coordinates):
Sr1 0.0000 0.0000 0.0000  4 In 3.59, 8 Li 3.80
Li1 0.2416 0.3488 0.5904  4 In 2.76-3.05
Li2 0.3488 0.7584 0.1072  4 In 2.76-3.05
Li3 0.6512 0.2416 0.8928  4 In 2.76-3.05
Li4 0.7584 0.6512 0.4096  4 In 2.76-3.05
In1 0.0869 0.6314 0.7183  4 Li 2.76-3.05, 1 In 2.99
In2 0.3686 0.0869 0.4555  4 Li 2.76-3.05, 1 In 2.99
In3 0.6314 0.9131 0.5445  4 Li 2.76-3.05, 1 In 2.99
In4 0.9131 0.3686 0.2817  4 Li 2.76-3.05, 1 In 2.99

---

Record 6
Entry from the Alexandria database: a geometry-optimized SrLiIn2 structure (PBE).

Cell: 4.7736 4.7736 6.4648 Å, 111.56 111.56 59.94°
Last column: nearest neighbours and their distance in Å.
Atoms (fractional coordinates):
Sr1 0.0000 0.0000 0.0000  4 Li 3.40-3.69, 7 In 3.50-3.69
Li1 0.8067 0.8067 0.4197  6 In 2.76-3.02
In1 0.2099 0.2099 0.6304  3 Li 3.02, 3 In 3.05-3.06
In2 0.4686 0.4686 0.4052  3 Li 2.76, 3 In 3.05-3.06

---

Record 7
Entry from the Alexandria database: a geometry-optimized Sr2LiIn structure (PBE).

Cell: 7.4274 7.4274 7.4274 Å, 104.13 104.13 120.77°
Last column: nearest neighbours and their distance in Å.
Atoms (fractional coordinates):
Sr1 0.1245 0.6250 0.9995  2 In 3.35, 2 Li 3.36, 2 Sr 3.67
Sr2 0.3750 0.3745 0.4995  2 In 3.35, 2 Li 3.36, 2 Sr 3.67
Sr3 0.6255 0.1250 0.0005  2 In 3.35, 2 Li 3.36, 2 Sr 3.67
Sr4 0.8750 0.8755 0.5005  2 In 3.35, 2 Li 3.36, 2 Sr 3.67
Li1 0.2500 0.7500 0.5000  4 Sr 3.36, 2 In 3.67
Li2 0.5000 0.5000 0.0000  4 Sr 3.36, 2 In 3.67
In1 0.0000 0.0000 0.0000  4 Sr 3.35, 2 Li 3.67
In2 0.7500 0.2500 0.5000  4 Sr 3.35, 2 Li 3.67

---

Record 8
Entry from the Alexandria database: a geometry-optimized SrLi2In structure (PBE).

Cell: 5.4067 5.4067 5.4067 Å, 60.00 60.00 60.00°
Last column: nearest neighbours and their distance in Å.
Atoms (fractional coordinates):
Sr1 0.0000 0.0000 0.0000  4 In 3.31, 4 Li 3.31
Li1 0.2500 0.2500 0.2500  4 Li 3.31, 4 Sr 3.31
Li2 0.5000 0.5000 0.5000  4 In 3.31, 4 Li 3.31
In1 0.7500 0.7500 0.7500  4 Li 3.31, 4 Sr 3.31

---

| no. | ΔH_f (0 K) (eV/atom) |
| --- | --- |
| 1 | -0.23 |
| 2 | -0.12 |
| 3 | -0.28 |
| 4 | -0.27 |
| 5 | -0.22 |
| 6 | -0.33 |
| 7 | 0.05 |
| 8 | -0.14 |